Entry 1:
Here is a relaxed structure of ZnCd from OQMD via LeMat-Bulk. Energies are from PBE-GGA.

abc: 2.9926 4.8523 5.0573
angles: 90.00 90.00 90.00
Last column: nearest neighbours and their distance in Å.
Space group Pmmn (No. 59, origin choice 2)
Inequivalent atoms, fractional coordinates:
Zn 0.2500 0.2500 0.0799 (multiplicity 2)  6 Cd 2.86-3.02, 6 Zn 2.96-2.99
Cd 0.2500 0.7500 0.4013 (multiplicity 2)  6 Zn 2.86-3.02, 6 Cd 2.99-3.02

total DFT energy (no corrections)	-0.074	Ry/atom
ΔE_f	0.0798	eV/atom


Entry 2:
Here is a relaxed structure of ZrGaHg2 from OQMD via LeMat-Bulk. Energies are from PBE-GGA.

abc: 6.9582 6.9582 6.9582
angles: 90.00 90.00 90.00
Last column: nearest neighbours and their distance in Å.
Space group F-43m (No. 216)
Inequivalent atoms, fractional coordinates:
Zr 0.0000 0.0000 0.0000 (multiplicity 4)  4 Ga 3.01, 4 Hg 3.01
Ga 0.2500 0.2500 0.7500 (multiplicity 4)  4 Hg 3.01, 4 Zr 3.01
Hg 0.0000 0.0000 0.5000 (multiplicity 4)  4 Hg 3.01, 4 Ga 3.01
Hg 0.2500 0.2500 0.2500 (multiplicity 4)  4 Hg 3.01, 4 Zr 3.01

total DFT energy (no corrections)	-0.218	Ry/atom


Entry 3:
Here is a relaxed structure of NdCoSi2Ni from OQMD via LeMat-Bulk. Energies are from PBE-GGA.

abc: 3.9944 3.9944 9.7246
angles: 90.00 90.00 90.00
Last column: nearest neighbours and their distance in Å.
Space group I-4m2 (No. 119)
Inequivalent atoms, fractional coordinates:
Nd 0.0000 0.0000 0.0000 (multiplicity 2)  8 Si 3.10, 4 Co 3.15, 4 Ni 3.15
Co 0.0000 0.5000 0.2500 (multiplicity 2)  4 Si 2.31
Si 0.0000 0.0000 0.3693 (multiplicity 4)  2 Co 2.31, 2 Ni 2.31, 1 Si 2.54
Ni 0.0000 0.5000 0.7500 (multiplicity 2)  4 Si 2.31

total DFT energy (no corrections)	-0.472	Ry/atom


Entry 4:
Here is a relaxed structure of FeB2Sb from OQMD via LeMat-Bulk. Energies are from PBE-GGA.

abc: 5.8021 5.8021 5.8021
angles: 90.00 90.00 90.00
Last column: nearest neighbours and their distance in Å.
Space group F-43m (No. 216)
Inequivalent atoms, fractional coordinates:
Fe 0.0000 0.0000 0.0000 (multiplicity 4)  4 B 2.51, 4 Sb 2.51
B 0.0000 0.0000 0.5000 (multiplicity 4)  4 Sb 2.51, 4 B 2.51
B 0.2500 0.2500 0.2500 (multiplicity 4)  4 Fe 2.51, 4 B 2.51
Sb 0.2500 0.2500 0.7500 (multiplicity 4)  4 Fe 2.51, 4 B 2.51

total DFT energy (no corrections)	-0.358	Ry/atom


Entry 5:
Here is a relaxed structure of ScTlPtSe3 from OQMD via LeMat-Bulk. Energies are from PBE-GGA.

abc: 3.8346 15.2200 9.9730
angles: 90.00 90.00 90.00
Last column: nearest neighbours and their distance in Å.
Space group Cmcm (No. 63)
Inequivalent atoms, fractional coordinates:
Sc 0.0000 0.0000 0.0000 (multiplicity 4)  6 Se 2.75-2.80
Tl 0.0000 0.2338 0.2500 (multiplicity 4)  6 Se 3.20-3.38
Pt 0.0000 0.4794 0.7500 (multiplicity 4)  4 Se 2.49-2.52
Se 0.0000 0.0835 0.7500 (multiplicity 4)  2 Pt 2.49
Se 0.0000 0.3752 0.5538 (multiplicity 8)  1 Pt 2.52, 2 Sc 2.75

total DFT energy (no corrections)	-0.368	Ry/atom


Entry 6:
Here is a relaxed structure of PaTlAu from OQMD via LeMat-Bulk. Energies are from PBE-GGA.

abc: 6.9205 6.9205 6.9205
angles: 90.00 90.00 90.00
Last column: nearest neighbours and their distance in Å.
Space group F-43m (No. 216)
Inequivalent atoms, fractional coordinates:
Pa 0.0000 0.0000 0.0000 (multiplicity 4)  4 Tl 3.00
Tl 0.2500 0.2500 0.7500 (multiplicity 4)  4 Pa 3.00, 4 Au 3.00
Au 0.0000 0.0000 0.5000 (multiplicity 4)  4 Tl 3.00

total DFT energy (no corrections)	-0.345	Ry/atom
energy above the most stable polymorph in this dataset	0.00	eV per formula unit


Entry 7:
Here is a relaxed structure of NaTcPt from OQMD via LeMat-Bulk. Energies are from PBE-GGA.

abc: 6.0822 6.0822 6.0822
angles: 90.00 90.00 90.00
Last column: nearest neighbours and their distance in Å.
Space group F-43m (No. 216)
Inequivalent atoms, fractional coordinates:
Na 0.0000 0.0000 0.0000 (multiplicity 4)  4 Pt 2.63
Tc 0.0000 0.0000 0.5000 (multiplicity 4)  4 Pt 2.63
Pt 0.2500 0.2500 0.2500 (multiplicity 4)  4 Na 2.63, 4 Tc 2.63

total DFT energy (no corrections)	-0.381	Ry/atom
energy above the most stable polymorph in this dataset	0.00	eV per formula unit


Entry 8:
Here is a relaxed structure of NpBPb from OQMD via LeMat-Bulk. Energies are from PBE-GGA.

abc: 6.7341 6.7341 6.7341
angles: 90.00 90.00 90.00
Last column: nearest neighbours and their distance in Å.
Space group F-43m (No. 216)
Inequivalent atoms, fractional coordinates:
Np 0.0000 0.0000 0.0000 (multiplicity 4)  4 Pb 2.92
B 0.0000 0.0000 0.5000 (multiplicity 4)  4 Pb 2.92
Pb 0.2500 0.2500 0.7500 (multiplicity 4)  4 Np 2.92, 4 B 2.92

total DFT energy (no corrections)	-0.449	Ry/atom


Copy entry 8 word for word.
Here is a relaxed structure of NpBPb from OQMD via LeMat-Bulk. Energies are from PBE-GGA.

abc: 6.7341 6.7341 6.7341
angles: 90.00 90.00 90.00
Last column: nearest neighbours and their distance in Å.
Space group F-43m (No. 216)
Inequivalent atoms, fractional coordinates:
Np 0.0000 0.0000 0.0000 (multiplicity 4)  4 Pb 2.92
B 0.0000 0.0000 0.5000 (multiplicity 4)  4 Pb 2.92
Pb 0.2500 0.2500 0.7500 (multiplicity 4)  4 Np 2.92, 4 B 2.92

total DFT energy (no corrections)	-0.449	Ry/atom